Entry 1:
The following is a PBE calculation of a relaxed structure of Na2Tl3ReSe6, from Alexandria.

The calculated total energy comes out at -4.02 eV per atom. The formation energy from raw total energies comes out at -425 meV per atom.

The space group is C2/m (No. 12) and the conventional cell measures 7.253, 12.694 and 7.324 Å, with angles of 90.00, 110.02 and 90.00 degrees. The asymmetric unit holds Na at (0.000, 0.169, 0.000), Tl at (0.000, 0.000, 0.500), Tl at (0.000, 0.343, 0.500), Re at (0.000, 0.500, 0.000), Se at (0.214, 0.361, 0.216) and Se at (0.219, 0.500, 0.790).

Entry 2:
The following is a PBE calculation of a relaxed structure of SrHf2Rh2, from Alexandria.

For the formation energy, the calculation gives -0.6042 eV/atom. The calculated total energy comes out at -7.86 eV per atom. The energy relative to the lowest polymorph listed for this composition is 0 meV/atom.

The space group is I4/mmm (No. 139) and the conventional cell measures 4.462, 4.462 and 11.657 Å, with angles of 90.00, 90.00 and 90.00 degrees. The asymmetric unit holds Sr at (0.000, 0.000, 0.000), Hf at (0.000, 0.500, 0.250) and Rh at (0.000, 0.000, 0.377).

Entry 3:
The following is a PBE calculation of a relaxed structure of Tl2TeAs, from Alexandria.

The calculated total energy comes out at -2.86 eV per atom. The energy relative to the lowest polymorph listed for this composition is 264 meV/atom. The formation energy from raw total energies comes out at 272 meV per atom.

The space group is R3m (No. 160, hexagonal axes) and the conventional cell measures 3.2983, 3.2983 and 37.3990 Å, with angles of 90.00, 90.00 and 120.00 degrees. The asymmetric unit holds Tl at (0.0000, 0.0000, 0.0000), Tl at (0.0000, 0.0000, 0.2481), Te at (0.0000, 0.0000, 0.7509) and As at (0.0000, 0.0000, 0.5165).

Entry 4:
The following is a PBE calculation of a relaxed structure of TiGaPt3, from Alexandria.

For the formation energy, the calculation gives 0.3572 eV/atom. The calculated total energy comes out at -5.45 eV per atom. The energy relative to the lowest polymorph listed for this composition is 1147 meV/atom.

The space group is Pm-3m (No. 221) and the conventional cell measures 4.596, 4.596 and 4.596 Å, with angles of 90.00, 90.00 and 90.00 degrees. The asymmetric unit holds Ti at (0.000, 0.000, 0.000), Ga at (0.500, 0.500, 0.500) and Pt at (0.000, 0.500, 0.500).

- What is the calculated total energy in the third record?
  -2.86 eV per atom

Copy entry 4 word for word.
The following is a PBE calculation of a relaxed structure of TiGaPt3, from Alexandria.

For the formation energy, the calculation gives 0.3572 eV/atom. The calculated total energy comes out at -5.45 eV per atom. The energy relative to the lowest polymorph listed for this composition is 1147 meV/atom.

The space group is Pm-3m (No. 221) and the conventional cell measures 4.596, 4.596 and 4.596 Å, with angles of 90.00, 90.00 and 90.00 degrees. The asymmetric unit holds Ti at (0.000, 0.000, 0.000), Ga at (0.500, 0.500, 0.500) and Pt at (0.000, 0.500, 0.500).